[1]
# NdTm5Te4

A relaxed NdTm5Te4 crystal (PBE-GGA, Alexandria).

Properties
ΔE_f (raw) ... -0.840 eV/atom

Lattice parameters (Å, degrees): 9.363 9.363 8.529 103.63 103.63 25.54
Positions (direct):
Nd  0.000  0.000  0.000
Tm  0.000  0.000  0.500
Tm  0.306  0.306  0.644
Tm  0.341  0.341  0.222
Tm  0.659  0.659  0.778
Tm  0.694  0.694  0.356
Te  0.173  0.173  0.063
Te  0.482  0.482  0.730
Te  0.518  0.518  0.270
Te  0.827  0.827  0.937

***

[2]
# La5Dy2Y4

A relaxed La5Dy2Y4 crystal (PBE-GGA, Alexandria).

Properties
Formation enthalpy at 0 K ... 0.076 eV/atom

Lattice parameters (Å, degrees): 9.149 9.149 11.792 93.80 93.80 22.54
Positions (direct):
La  0.000  0.000  0.000
La  0.323  0.323  0.926
La  0.403  0.403  0.464
La  0.597  0.597  0.536
La  0.677  0.677  0.074
Dy  0.216  0.216  0.353
Dy  0.784  0.784  0.647
Y  0.141  0.141  0.798
Y  0.464  0.464  0.737
Y  0.536  0.536  0.263
Y  0.859  0.859  0.202